The following is a GGA-PBE calculation of a relaxed Ac3Mg4Al4 crystal, from Alexandria.

spin magnetization = 0.000 μB/atom
E = -72.75 eV for the cell shown

Cell: 4.898 7.626 16.052 Å, 90.00 90.00 90.00°
Space group Immm (No. 71)
One atom of each set of equivalent atoms:
Ac 0.000 0.000 0.000 x2
Ac 0.000 0.500 0.125 x4
Mg 0.000 0.308 0.330 x8
Al 0.000 0.000 0.217 x4
Al 0.000 0.178 0.500 x4